1.
DFT (GGA-PBE) results for a relaxed CsTl4Cd2Pb crystal.

CIF file:
```
data_CsTl4Cd2Pb
_space_group_name_H-M_alt 'P 1'
_space_group_IT_number 1
_cell_length_a 5.410
_cell_length_b 5.410
_cell_length_c 11.556
_cell_angle_alpha 76.46
_cell_angle_beta 76.46
_cell_angle_gamma 60.00
loop_
_space_group_symop_operation_xyz
'x,y,z'
loop_
_atom_site_label
_atom_site_fract_x
_atom_site_fract_y
_atom_site_fract_z
_atom_site_occupancy
Cs1 0.000 0.000 0.000 1
Tl1 0.405 0.405 0.784 1
Tl2 0.871 0.871 0.386 1
Tl3 0.129 0.129 0.614 1
Tl4 0.595 0.595 0.216 1
Cd1 0.765 0.765 0.705 1
Cd2 0.235 0.235 0.295 1
Pb1 0.500 0.500 0.500 1
```

Results
ΔH_f (0 K)   -0.0305 eV per atom
VASP energy   -16.10 eV for the cell shown
Crystal system   trigonal

---

2.
DFT (GGA-PBE) results for a relaxed Cs2Tl12Cd3Pb crystal.

CIF file:
```
data_Cs2Tl12Cd3Pb
_space_group_name_H-M_alt 'P 1'
_space_group_IT_number 1
_cell_length_a 13.146
_cell_length_b 13.146
_cell_length_c 13.146
_cell_angle_alpha 34.52
_cell_angle_beta 34.52
_cell_angle_gamma 34.52
loop_
_space_group_symop_operation_xyz
'x,y,z'
loop_
_atom_site_label
_atom_site_fract_x
_atom_site_fract_y
_atom_site_fract_z
_atom_site_occupancy
Cs1 0.645 0.645 0.645 1
Cs2 0.355 0.355 0.355 1
Tl1 0.410 0.410 0.819 1
Tl2 0.912 0.912 0.380 1
Tl3 0.380 0.912 0.912 1
Tl4 0.819 0.410 0.410 1
Tl5 0.912 0.380 0.912 1
Tl6 0.410 0.819 0.410 1
Tl7 0.590 0.590 0.181 1
Tl8 0.088 0.088 0.620 1
Tl9 0.620 0.088 0.088 1
Tl10 0.181 0.590 0.590 1
Tl11 0.088 0.620 0.088 1
Tl12 0.590 0.181 0.590 1
Cd1 0.500 0.000 0.000 1
Cd2 0.000 0.500 0.000 1
Cd3 0.000 0.000 0.500 1
Pb1 0.000 0.000 0.000 1
```

Results
ΔH_f (0 K)   0.0563 eV per atom
VASP energy   -35.54 eV for the cell shown
Crystal system   trigonal

---

3.
DFT (GGA-PBE) results for a relaxed Cs2Tl2CdPb crystal.

CIF file:
```
data_Cs2Tl2CdPb
_space_group_name_H-M_alt 'P 1'
_space_group_IT_number 1
_cell_length_a 7.457
_cell_length_b 7.381
_cell_length_c 10.646
_cell_angle_alpha 110.28
_cell_angle_beta 110.50
_cell_angle_gamma 90.00
loop_
_space_group_symop_operation_xyz
'x,y,z'
loop_
_atom_site_label
_atom_site_fract_x
_atom_site_fract_y
_atom_site_fract_z
_atom_site_occupancy
Cs1 0.404 0.167 0.334 1
Cs2 0.596 0.833 0.666 1
Cs3 0.071 0.333 0.666 1
Cs4 0.929 0.667 0.334 1
Tl1 0.833 0.098 0.197 1
Tl2 0.364 0.598 0.197 1
Tl3 0.636 0.402 0.803 1
Tl4 0.167 0.902 0.803 1
Cd1 0.500 0.750 0.000 1
Cd2 0.500 0.250 0.000 1
Pb1 0.000 0.750 0.000 1
Pb2 0.000 0.250 0.000 1
```

Results
ΔH_f (0 K)   -0.1178 eV per atom
VASP energy   -23.54 eV for the cell shown
Crystal system   orthorhombic